# 1
First-principles (PBE-GGA) data for Cu2SiAg after structural relaxation, as listed in the Alexandria database.

Summary:
The calculated total energy is -15.92 eV for the cell shown. The calculation puts the calculated volume at 56.48 Å³/cell.

CIF file:
```
data_Cu2SiAg
_space_group_name_H-M_alt 'P m m 2'
_space_group_IT_number 25
_space_group_name_Hall 'P 2 -2'
_cell_length_a 2.787
_cell_length_b 3.588
_cell_length_c 5.648
_cell_angle_alpha 90.00
_cell_angle_beta 90.00
_cell_angle_gamma 90.00
loop_
_atom_site_label
_atom_site_type_symbol
_atom_site_fract_x
_atom_site_fract_y
_atom_site_fract_z
Cu1 Cu 0.000 0.000 0.000
Cu2 Cu 0.500 0.500 0.223
Si1 Si 0.000 0.000 0.432
Ag1 Ag 0.500 0.500 0.726
```


# 2
First-principles (PBE-GGA) data for Cu2SiAg after structural relaxation, as listed in the Alexandria database.

Summary:
The calculated total energy is -31.96 eV for the cell shown. The calculation puts the calculated volume at 112.55 Å³/cell.

CIF file:
```
data_Cu2SiAg
_space_group_name_H-M_alt 'C 1 2/m 1'
_space_group_IT_number 12
_space_group_name_Hall '-C 2y'
_cell_length_a 8.459
_cell_length_b 2.762
_cell_length_c 4.913
_cell_angle_alpha 90.00
_cell_angle_beta 101.36
_cell_angle_gamma 90.00
loop_
_atom_site_label
_atom_site_type_symbol
_atom_site_fract_x
_atom_site_fract_y
_atom_site_fract_z
Cu1 Cu 0.237 0.000 0.216
Si1 Si 0.000 0.500 0.000
Ag1 Ag 0.000 0.000 0.500
```


# 3
First-principles (PBE-GGA) data for Cu2Si2Ag after structural relaxation, as listed in the Alexandria database.

Summary:
The calculated total energy is -41.93 eV for the cell shown. The calculation puts the calculated volume at 152.89 Å³/cell. The polymorph energy (0 for the lowest one) is 0.0239 eV/atom.

CIF file:
```
data_Cu2Si2Ag
_space_group_name_H-M_alt 'I 4/m m m'
_space_group_IT_number 139
_space_group_name_Hall '-I 4 2'
_cell_length_a 3.844
_cell_length_b 3.844
_cell_length_c 10.349
_cell_angle_alpha 90.00
_cell_angle_beta 90.00
_cell_angle_gamma 90.00
loop_
_atom_site_label
_atom_site_type_symbol
_atom_site_fract_x
_atom_site_fract_y
_atom_site_fract_z
Cu1 Cu 0.000 0.500 0.250
Si1 Si 0.000 0.000 0.110
Ag1 Ag 0.000 0.000 0.500
```


# 4
First-principles (PBE-GGA) data for CuSi2Ag after structural relaxation, as listed in the Alexandria database.

Summary:
The calculated total energy is -32.88 eV for the cell shown. The calculation puts the calculated volume at 123.04 Å³/cell. The polymorph energy (0 for the lowest one) is 0.1272 eV/atom.

CIF file:
```
data_CuSi2Ag
_space_group_name_H-M_alt 'C m m m'
_space_group_IT_number 65
_space_group_name_Hall '-C 2 2'
_cell_length_a 2.721
_cell_length_b 5.023
_cell_length_c 9.002
_cell_angle_alpha 90.00
_cell_angle_beta 90.00
_cell_angle_gamma 90.00
loop_
_atom_site_label
_atom_site_type_symbol
_atom_site_fract_x
_atom_site_fract_y
_atom_site_fract_z
Cu1 Cu 0.000 0.000 0.000
Si1 Si 0.000 0.500 0.229
Ag1 Ag 0.000 0.000 0.500
```


# 5
First-principles (PBE-GGA) data for CuSi2Ag after structural relaxation, as listed in the Alexandria database.

Summary:
The calculated total energy is -33.26 eV for the cell shown. The calculation puts the calculated volume at 128.54 Å³/cell. The polymorph energy (0 for the lowest one) is 0.0789 eV/atom.

CIF file:
```
data_CuSi2Ag
_space_group_name_H-M_alt 'I m m 2'
_space_group_IT_number 44
_space_group_name_Hall 'I 2 -2'
_cell_length_a 2.682
_cell_length_b 3.968
_cell_length_c 12.077
_cell_angle_alpha 90.00
_cell_angle_beta 90.00
_cell_angle_gamma 90.00
loop_
_atom_site_label
_atom_site_type_symbol
_atom_site_fract_x
_atom_site_fract_y
_atom_site_fract_z
Cu1 Cu 0.000 0.000 0.000
Si1 Si 0.000 0.000 0.558
Si2 Si 0.000 0.500 0.325
Ag1 Ag 0.000 0.500 0.717
```


# 6
First-principles (PBE-GGA) data for CuSi2Ag after structural relaxation, as listed in the Alexandria database.

Summary:
The calculated total energy is -32.84 eV for the cell shown. The calculation puts the calculated volume at 120.46 Å³/cell. The polymorph energy (0 for the lowest one) is 0.1312 eV/atom.

CIF file:
```
data_CuSi2Ag
_space_group_name_H-M_alt 'I -4 m 2'
_space_group_IT_number 119
_space_group_name_Hall 'I -4 -2'
_cell_length_a 3.909
_cell_length_b 3.909
_cell_length_c 7.885
_cell_angle_alpha 90.00
_cell_angle_beta 90.00
_cell_angle_gamma 90.00
loop_
_atom_site_label
_atom_site_type_symbol
_atom_site_fract_x
_atom_site_fract_y
_atom_site_fract_z
Cu1 Cu 0.000 0.000 0.000
Si1 Si 0.000 0.000 0.500
Si2 Si 0.000 0.500 0.750
Ag1 Ag 0.000 0.500 0.250
```